Density functional theory data (PBE+U) for Ba3Er2MoO9 after structural relaxation.

Total magnetization, μB per formula unit: 0.0
DFT total energy, eV/atom: -7.2847
Crystal system: monoclinic

Geometry as POSCAR:
```
Ba3Er2MoO9
1.0
5.2603 -3.0146 0.0000
5.2603 3.0146 0.0000
-0.1183 0.0000 14.8386
Ba Er Mo O
6 4 2 18
Cartesian
5.2307 -3.0145 3.7096 Ba
5.1716 3.0145 11.1289 Ba
3.4434 0.0056 8.7175 Ba
3.5026 -0.0056 1.2982 Ba
6.8997 0.0056 13.5404 Ba
6.9589 -0.0056 6.1211 Ba
3.4604 0.0105 4.9284 Er
3.4013 -0.0105 12.3477 Er
7.0010 0.0105 2.4909 Er
6.9419 -0.0105 9.9102 Er
0.0000 0.0000 0.0000 Mo
-0.0591 0.0000 7.4193 Mo
2.3700 1.2419 10.9342 O
4.2263 1.8055 13.5878 O
1.5483 0.0023 6.2862 O
1.4892 -0.0023 13.7055 O
4.5014 1.4520 6.4637 O
6.1169 1.8055 8.6701 O
5.9600 1.4520 0.9556 O
2.4292 -1.2419 3.5149 O
5.1716 0.0529 11.1289 O
5.2307 -0.0529 3.7096 O
7.9731 1.2419 11.3237 O
4.4423 -1.4520 13.8830 O
4.2854 -1.8055 6.1685 O
5.9009 -1.4520 8.3749 O
8.9131 0.0023 1.1331 O
8.8540 -0.0023 8.5524 O
6.1760 -1.8055 1.2508 O
8.0323 -1.2419 3.9044 O
```